[1]
## KRe4Ag (PBEsol)

Data for a relaxed structure of KRe4Ag.

a b c (Å): 5.2958 5.2958 5.2958
angles (deg): 60.00 60.00 60.00
Closest atoms and distances in Å follow each position.
Fractional coordinates of all 6 atoms:
K1 0.0000 0.0000 0.0000  12 Re 3.11, 4 Ag 3.24
Re1 0.3753 0.3753 0.3753  6 Re 2.64-2.66
Re2 0.3753 0.3753 0.8740  6 Re 2.64-2.66
Re3 0.3753 0.8740 0.3753  6 Re 2.64-2.66
Re4 0.8740 0.3753 0.3753  6 Re 2.64-2.66
Ag1 0.7500 0.7500 0.7500  12 Re 3.10, 4 K 3.24

Output
Total moment   0.00 μB/cell
Symmetry   F-43m, No. 216
Formation energy from the elements   1163 meV per atom
ρ   14.1 g/cm3



[2]
## ScCoMo2 (PBEsol)

Data for a relaxed structure of ScCoMo2.

a b c (Å): 4.9843 4.9843 4.9843
angles (deg): 142.71 125.74 67.69
Closest atoms and distances in Å follow each position.
Fractional coordinates of all 4 atoms:
Sc1 0.0000 0.0000 0.0000  2 Co 2.66, 8 Mo 2.77-2.95
Co1 0.7434 0.2434 0.5000  6 Mo 2.52-2.79, 2 Sc 2.66
Mo1 0.2733 0.7733 0.5000  2 Mo 2.51, 2 Sc 2.77, 4 Co 2.79
Mo2 0.5078 0.5078 0.0000  2 Mo 2.51, 2 Co 2.52, 4 Sc 2.78

Output
Distance to the lowest polymorph of the same formula   0.123 eV/atom
Total moment   0.59 μB/cell
Symmetry   Imm2, No. 44
Formation energy from the elements   158 meV per atom
ρ   8.2 g/cm3



Repeat the first record exactly.
## KRe4Ag (PBEsol)

Data for a relaxed structure of KRe4Ag.

a b c (Å): 5.2958 5.2958 5.2958
angles (deg): 60.00 60.00 60.00
Closest atoms and distances in Å follow each position.
Fractional coordinates of all 6 atoms:
K1 0.0000 0.0000 0.0000  12 Re 3.11, 4 Ag 3.24
Re1 0.3753 0.3753 0.3753  6 Re 2.64-2.66
Re2 0.3753 0.3753 0.8740  6 Re 2.64-2.66
Re3 0.3753 0.8740 0.3753  6 Re 2.64-2.66
Re4 0.8740 0.3753 0.3753  6 Re 2.64-2.66
Ag1 0.7500 0.7500 0.7500  12 Re 3.10, 4 K 3.24

Output
Total moment   0.00 μB/cell
Symmetry   F-43m, No. 216
Formation energy from the elements   1163 meV per atom
ρ   14.1 g/cm3



Question: The highest total moment belongs to which entry?
Answer: ScCoMo2